Compound: Dy2Co3P4
Source: Alexandria via LeMat-Bulk
Functional: GGA-PBE
Structure: optimized geometry

Values from the calculation:
ΔH_f (0 K): -796.0 meV per atom
symmetry: No. 69
crystal system: orthorhombic
total energy: -6.592 eV per atom

a = 5.290 Å, b = 5.290 Å, c = 6.381 Å
α = 101.57°, β = 101.57°, γ = 121.06°
Last column: magnetic moment on the atom in μB.
Positions (direct):
Co  0.000  0.500  0.000  0.49
Co  0.000  0.000  0.000  0.62
Dy  0.355  0.355  0.711  0.01
Co  0.500  0.000  0.000  0.49
P  0.017  0.698  0.715  0.01
P  0.302  0.983  0.285  0.01
Dy  0.645  0.645  0.289  0.01
P  0.698  0.017  0.715  0.01
P  0.983  0.302  0.285  0.01

=====

Compound: HgHPd2Ru
Source: Alexandria via LeMat-Bulk
Functional: GGA-PBE
Structure: optimized geometry

Values from the calculation:
symmetry: No. 123
crystal system: tetragonal
total energy: -4.491 eV per atom

a = 4.068 Å, b = 4.068 Å, c = 4.073 Å
α = 90.00°, β = 90.00°, γ = 90.00°
Positions (direct):
Ru  0.000  0.000  0.500
Pd  0.000  0.500  0.000
H  0.000  0.000  0.000
Hg  0.500  0.500  0.500
Pd  0.500  0.000  0.000

=====

Compound: BaZrCu2Se4
Source: Alexandria via LeMat-Bulk
Functional: GGA-PBE
Structure: optimized geometry

Values from the calculation:
symmetry: No. 23
crystal system: orthorhombic
total energy: -5.076 eV per atom

a = 6.433 Å, b = 6.711 Å, c = 6.711 Å
α = 72.53°, β = 61.36°, γ = 61.36°
Positions (direct):
Cu  0.143  0.357  0.357
Ba  0.000  0.000  0.000
Se  0.099  0.862  0.493
Se  0.455  0.138  0.507
Cu  0.857  0.643  0.643
Zr  0.500  0.500  0.500
Se  0.545  0.493  0.862
Se  0.901  0.507  0.138